(1)
First-principles (PBE-GGA) data for crystalline SiTc2Ru at its relaxed geometry, as listed in Alexandria via LeMat-Bulk.

Results
DOS at the Fermi energy ... 4.39 states/eV per cell
ρ ... 9.6 Mg/m³
ΔE_f (raw) ... 12.9 meV per atom

a = 3.613 Å, b = 3.613 Å, c = 4.289 Å
α = 90.00°, β = 90.00°, γ = 90.00°
Space group P4/mmm (No. 123)
Symmetry-distinct sites (fractional):
Si 0.000 0.000 0.000 x1
Tc 0.000 0.500 0.500 x2
Ru 0.500 0.500 0.000 x1

***

(2)
First-principles (PBE-GGA) data for crystalline HfAlH at its relaxed geometry, as listed in Alexandria via LeMat-Bulk.

Results
Energy above the lowest structure with this stoichiometry ... 0.01 eV per formula unit
DOS at the Fermi energy ... 0.02 states/eV per cell
ρ ... 8.8 Mg/m³

a = 7.102 Å, b = 3.936 Å, c = 5.565 Å
α = 90.00°, β = 90.00°, γ = 90.00°
Space group Pnma (No. 62)
Symmetry-distinct sites (fractional):
Hf 0.170 0.250 0.118 x4
Al 0.040 0.250 0.629 x4
H 0.117 0.750 0.965 x4